# 1
# GGA-PBEsol TcAgAs2, optimized geometry
# Relative energy among the computed polymorphs ... 57 meV per atom
# E_tot ... -5.86 eV per atom
data_TcAgAs2
_cell_length_a 3.133
_cell_length_b 4.638
_cell_length_c 9.624
_cell_angle_alpha 90.00
_cell_angle_beta 90.00
_cell_angle_gamma 90.00
_space_group_name_H-M_alt 'C m m 2'
_space_group_IT_number 35
_space_group_name_Hall 'C 2 -2'
loop_
_atom_site_label
_atom_site_type_symbol
_atom_site_fract_x
_atom_site_fract_y
_atom_site_fract_z
_atom_site_occupancy
Tc1 Tc 0.000 0.000 0.000 1
Ag1 Ag 0.000 0.500 0.754 1
As1 As 0.000 0.000 0.519 1
As2 As 0.000 0.500 0.192 1

# 2
# GGA-PBEsol TcAgAs2, optimized geometry
# Relative energy among the computed polymorphs ... 52 meV per atom
# E_tot ... -5.86 eV per atom
data_TcAgAs2
_cell_length_a 6.328
_cell_length_b 6.328
_cell_length_c 6.328
_cell_angle_alpha 90.00
_cell_angle_beta 90.00
_cell_angle_gamma 90.00
_space_group_name_H-M_alt 'F m -3 m'
_space_group_IT_number 225
_space_group_name_Hall '-F 4 2 3'
loop_
_atom_site_label
_atom_site_type_symbol
_atom_site_fract_x
_atom_site_fract_y
_atom_site_fract_z
_atom_site_occupancy
Tc1 Tc 0.000 0.000 0.000 1
Ag1 Ag 0.000 0.000 0.500 1
As1 As 0.250 0.250 0.250 1

# 3
# GGA-PBEsol Tc2AgAs, optimized geometry
# E_tot ... -7.17 eV per atom
data_Tc2AgAs
_cell_length_a 2.974
_cell_length_b 4.493
_cell_length_c 4.527
_cell_angle_alpha 90.00
_cell_angle_beta 90.00
_cell_angle_gamma 90.00
_space_group_name_H-M_alt 'P m m m'
_space_group_IT_number 47
_space_group_name_Hall '-P 2 2'
loop_
_atom_site_label
_atom_site_type_symbol
_atom_site_fract_x
_atom_site_fract_y
_atom_site_fract_z
_atom_site_occupancy
Tc1 Tc 0.000 0.000 0.000 1
Tc2 Tc 0.500 0.500 0.000 1
Ag1 Ag 0.000 0.500 0.500 1
As1 As 0.500 0.000 0.500 1

# 4
# GGA-PBEsol TcAgAs, optimized geometry
# Relative energy among the computed polymorphs ... 175 meV per atom
# E_tot ... -6.18 eV per atom
data_TcAgAs
_cell_length_a 3.113
_cell_length_b 4.697
_cell_length_c 13.745
_cell_angle_alpha 90.00
_cell_angle_beta 90.00
_cell_angle_gamma 90.00
_space_group_name_H-M_alt 'F m m 2'
_space_group_IT_number 42
_space_group_name_Hall 'F 2 -2'
loop_
_atom_site_label
_atom_site_type_symbol
_atom_site_fract_x
_atom_site_fract_y
_atom_site_fract_z
_atom_site_occupancy
Tc1 Tc 0.000 0.000 0.000 1
Ag1 Ag 0.000 0.000 0.671 1
As1 As 0.000 0.000 0.367 1

| no. | DFT formation energy (eV/atom) | density (g cm⁻³) | total magnetic moment (μB per cell) |
| --- | --- | --- | --- |
| 1 | 0.34 | 8.45 | 0.00 |
| 2 | 0.33 | 9.32 | 2.45 |
| 3 | 0.57 | 10.40 | 0.00 |
| 4 | 0.38 | 9.28 | 0.01 |